# 1
VASP calculation (PBE-GGA) on a geometry-optimized PrZn2Ag structure.

Structure (POSCAR):
```
PrZn2Ag
1.0
-2.908 -6.485 -0.605
4.067 -1.864 0.431
-1.262 -0.389 10.234
Ag Zn Pr
4 8 4
direct
0.468 0.250 0.599
0.532 0.750 0.401
0.032 0.750 0.099
0.968 0.250 0.901
0.910 0.750 0.355
0.299 0.250 0.040
0.590 0.250 0.855
0.201 0.750 0.540
0.799 0.250 0.460
0.701 0.750 0.960
0.410 0.750 0.145
0.090 0.250 0.645
0.285 0.750 0.832
0.715 0.250 0.168
0.785 0.750 0.668
0.215 0.250 0.332
```

The value obtained for the total magnetic moment is 0.003 μB per atom. As for the formation energy: -0.324 eV per atom. As for the space-group type: Pnma.

=====

# 2
VASP calculation (PBE-GGA) on a geometry-optimized Mg4Pt3 structure.

Structure (POSCAR):
```
Mg4Pt3
1.0
4.983 5.754 0.000
-2.491 7.192 0.000
0.000 0.000 4.645
Mg Pt
8 6
direct
0.798 0.934 0.500
0.982 0.227 0.500
0.542 0.154 0.000
0.725 0.447 0.000
0.019 0.970 0.000
0.505 0.411 0.500
0.429 0.857 0.000
0.095 0.524 0.500
0.132 0.283 0.000
0.299 0.561 0.000
0.669 0.654 0.500
0.392 0.098 0.500
0.855 0.727 0.000
0.225 0.820 0.500
```

The value obtained for the total magnetic moment is 0.000 μB per atom. The uncorrected energy is -57.76 eV/cell. As for the space-group type: P6_3/m.

=====

# 3
VASP calculation (PBE-GGA) on a geometry-optimized NdSi2Ag structure.

Structure (POSCAR):
```
NdSi2Ag
1.0
2.110 -8.807 0.000
2.110 8.807 0.000
0.000 0.000 4.235
Nd Si Ag
2 4 2
direct
0.096 0.904 0.750
0.904 0.096 0.250
0.468 0.532 0.750
0.664 0.336 0.250
0.532 0.468 0.250
0.336 0.664 0.750
0.752 0.248 0.750
0.248 0.752 0.250
```

The value obtained for the total magnetic moment is 0.000 μB per atom. The uncorrected energy is -41.01 eV/cell. As for the space-group type: Cmcm.

=====

# 4
VASP calculation (PBE-GGA) on a geometry-optimized NbICl4 structure.

Structure (POSCAR):
```
NbICl4
1.0
6.639 0.000 0.000
-2.858 6.568 0.000
-0.091 -3.468 8.911
Nb Cl I
2 8 2
direct
0.098 0.211 0.214
0.902 0.789 0.786
0.288 0.008 0.239
0.215 0.161 0.954
0.119 0.636 0.854
0.712 0.992 0.761
0.931 0.181 0.420
0.881 0.364 0.146
0.785 0.839 0.046
0.069 0.819 0.580
0.547 0.413 0.671
0.453 0.587 0.329
```

The value obtained for the total magnetic moment is 0.000 μB per atom. The uncorrected energy is -50.75 eV/cell. As for the space-group type: P-1.